## BaZn2SiAu4 (PBE-GGA)

Data for a relaxed structure of BaZn2SiAu4.

```
BaZn2SiAu4
1.0
-3.5285 0.2591 -2.7360
-0.5507 -3.0406 -3.2333
-6.5887 -6.5816 4.2182
Au Si Zn Ba
4 1 2 1
Direct
0.4112 0.4112 0.7664 Au
0.8601 0.8601 0.4197 Au
0.1399 0.1399 0.5803 Au
0.5888 0.5888 0.2336 Au
0.5000 0.5000 0.5000 Si
0.2444 0.2444 0.2669 Zn
0.7556 0.7556 0.7331 Zn
0.0000 0.0000 0.0000 Ba
```

Properties
SG: R-3m
VASP energy: -3.129 eV/atom
crystal system: trigonal
volume: 21.42 A^3/atom
ΔE_f (raw): -5.839 kcal/mol of atoms